Record 1
{
  "formula": "TmUNiS4",
  "functional": "PBE",
  "state": "relaxed",
  "dft_energy_ev_per_atom": -6.756,
  "formation_energy_uncorrected_ev_per_atom": -1.32,
  "cell": [[6.2580, 0.0000, 0.0000], [0.0000, 5.8665, 0.0000], [-2.1095, 0.0000, 7.1793]],
  "species": ["Tm", "Tm", "U", "U", "Ni", "Ni", "S", "S", "S", "S", "S", "S", "S", "S"],
  "fractional_positions": [[0.2504, 0.2500, 0.0592], [0.7496, 0.7500, 0.9408], [0.2372, 0.2500, 0.5560], [0.7628, 0.7500, 0.4440], [0.2414, 0.7500, 0.3291], [0.7586, 0.2500, 0.6709], [0.0156, 0.5106, 0.7550], [0.0156, 0.9894, 0.7550], [0.4370, 0.7500, 0.1191], [0.4381, 0.7500, 0.6166], [0.5619, 0.2500, 0.3834], [0.5630, 0.2500, 0.8809], [0.9844, 0.0106, 0.2450], [0.9844, 0.4894, 0.2450]]
}


Record 2
{
  "formula": "UNiS2",
  "functional": "PBE",
  "state": "relaxed",
  "dft_energy_ev_per_atom": -7.163,
  "formation_energy_uncorrected_ev_per_atom": -0.83,
  "polymorph_energy_mev_per_atom": 271,
  "cell": [[7.5115, 0.0000, 0.0000], [0.0000, 6.6350, 0.0000], [0.0000, 0.0000, 6.9402]],
  "species": ["U", "U", "U", "U", "Ni", "Ni", "Ni", "Ni", "S", "S", "S", "S", "S", "S", "S", "S"],
  "fractional_positions": [[0.1747, 0.0000, 0.0000], [0.3253, 0.0000, 0.5000], [0.6747, 0.0000, 0.5000], [0.8253, 0.0000, 0.0000], [0.0000, 0.1581, 0.3661], [0.0000, 0.8419, 0.6339], [0.5000, 0.1581, 0.1339], [0.5000, 0.8419, 0.8661], [0.0000, 0.1736, 0.6938], [0.0000, 0.8264, 0.3062], [0.2500, 0.3070, 0.2500], [0.2500, 0.6930, 0.7500], [0.5000, 0.1736, 0.8062], [0.5000, 0.8264, 0.1938], [0.7500, 0.3070, 0.2500], [0.7500, 0.6930, 0.7500]]
}